# RbTlIr2W GGA-PBE optimized geometry
data_RbTlIr2W
_cell_length_a 5.158
_cell_length_b 5.158
_cell_length_c 5.296
_cell_angle_alpha 90.00
_cell_angle_beta 90.00
_cell_angle_gamma 90.00
_symmetry_space_group_name_H-M 'P 4/m m m'
_symmetry_Int_Tables_number 123
_symmetry_space_group_name_Hall '-P 4 2'
loop_
_atom_site_label
_atom_site_fract_x
_atom_site_fract_y
_atom_site_fract_z
Rb1 0.000 0.000 0.000
Tl1 0.500 0.500 0.500
Ir1 0.000 0.500 0.500
W1 0.500 0.500 0.000
# Formation enthalpy at 0 K: 225 kJ per mole of atoms
# DOS(E_F): 5.46 states/eV per cell
# Calculated density: 10.1 g cm⁻³
# VASP energy: -4.468 eV per atom